1.
K4LiCl4 | PBE | optimized geometry Values from VASP.

Summary:
Spin magnetization in Bohr magnetons per cell: 0.617
E_form (uncorrected) in meV/atom: -1597
Energy in eV per atom: -3.118
SG: No. 137

The structure in Quantum ESPRESSO input format:
```
&SYSTEM
  ibrav = 0, nat = 18, ntyp = 3
/
ATOMIC_SPECIES
K 39.10 K.upf
Li 6.94 Li.upf
Cl 35.45 Cl.upf
CELL_PARAMETERS angstrom
9.463 0.000 0.000
0.000 9.463 0.000
0.000 0.000 6.686
ATOMIC_POSITIONS angstrom
K 0.219 2.366 0.416
K 2.366 0.219 3.759
K 2.366 4.513 3.759
K 4.513 2.366 0.416
K 4.950 7.098 6.270
K 7.098 4.950 2.927
K 7.098 9.245 2.927
K 9.245 7.098 6.270
Li 2.366 7.098 1.671
Li 7.098 2.366 5.014
Cl 0.405 7.098 3.051
Cl 2.366 5.137 0.292
Cl 2.366 9.059 0.292
Cl 4.327 7.098 3.051
Cl 5.137 2.366 3.635
Cl 7.098 0.405 6.393
Cl 7.098 4.327 6.393
Cl 9.059 2.366 3.635
```

---

2.
Sr12In3F5 | PBE | optimized geometry Values from VASP.

Summary:
Spin magnetization in Bohr magnetons per cell: 0.014
E_form (uncorrected) in meV/atom: -1488
Energy in eV per atom: -3.376
SG: No. 230

The structure in Quantum ESPRESSO input format:
```
&SYSTEM
  ibrav = 0, nat = 80, ntyp = 3
/
ATOMIC_SPECIES
Sr 87.62 Sr.upf
In 114.82 In.upf
F 19.00 F.upf
CELL_PARAMETERS angstrom
-8.769 8.769 8.769
8.769 -8.769 8.769
8.769 8.769 -8.769
ATOMIC_POSITIONS angstrom
Sr 2.689 -0.622 0.971
Sr 10.465 5.355 -5.007
Sr 11.458 0.622 0.971
Sr 10.465 -3.414 5.007
Sr 8.147 -0.971 2.689
Sr 13.776 -1.696 3.414
Sr 0.971 2.689 -0.622
Sr 12.183 3.763 -1.696
Sr 5.355 5.007 -1.696
Sr 7.799 2.689 0.622
Sr -0.622 0.971 2.689
Sr 5.007 -1.696 5.355
Sr 8.147 7.799 -2.689
Sr 5.007 1.696 3.414
Sr 5.355 -5.007 10.465
Sr 7.799 -2.689 8.147
Sr 3.414 5.007 1.696
Sr 9.740 6.080 0.622
Sr 5.007 10.465 -3.414
Sr 8.147 0.971 6.080
Sr 2.689 8.147 -0.971
Sr 10.465 3.414 3.763
Sr 1.696 3.414 5.007
Sr 2.689 0.622 7.799
Sr 6.080 8.147 0.971
Sr 7.074 5.355 3.763
Sr -1.696 5.355 5.007
Sr 6.080 0.622 9.740
Sr 0.622 7.799 2.689
Sr 3.763 -1.696 12.183
Sr -0.971 2.689 8.147
Sr 5.355 3.763 7.074
Sr 0.971 11.458 0.622
Sr 3.414 13.776 -1.696
Sr 3.763 7.074 5.355
Sr 0.622 0.971 11.458
Sr 3.763 10.465 3.414
Sr 9.391 7.799 6.080
Sr 0.971 6.080 8.147
Sr 3.414 3.763 10.465
Sr -3.414 5.007 10.465
Sr 7.799 6.080 9.391
Sr -5.007 10.465 5.355
Sr 0.622 9.740 6.080
Sr -1.696 12.183 3.763
Sr -2.689 8.147 7.799
Sr -1.696 3.414 13.776
Sr 6.080 9.391 7.799
In 4.385 2.192 0.000
In 8.769 4.385 -2.192
In 2.192 0.000 4.385
In 10.961 0.000 4.385
In 0.000 4.385 2.192
In 4.385 -2.192 8.769
In 4.385 10.961 0.000
In 8.769 4.385 6.577
In -2.192 8.769 4.385
In 6.577 8.769 4.385
In 0.000 4.385 10.961
In 4.385 6.577 8.769
F 0.000 0.000 0.000
F 4.385 4.385 -4.385
F 4.385 -4.385 4.385
F 8.769 0.000 0.000
F 13.154 2.192 0.000
F 8.769 -4.385 6.577
F 6.577 8.769 -4.385
F 6.577 0.000 4.385
F 4.385 6.577 0.000
F 8.769 4.385 2.192
F -4.385 4.385 4.385
F 0.000 8.769 0.000
F 0.000 0.000 8.769
F 4.385 4.385 4.385
F 0.000 4.385 6.577
F 4.385 2.192 8.769
F 2.192 8.769 4.385
F 2.192 0.000 13.154
F 0.000 13.154 2.192
F -4.385 6.577 8.769
```

---

3.
Sr3LiNd2Se6 | PBE | optimized geometry Values from VASP.

Summary:
Spin magnetization in Bohr magnetons per cell: 0.000
E_form (uncorrected) in meV/atom: -1870
Energy in eV per atom: -4.987
SG: No. 12

The structure in Quantum ESPRESSO input format:
```
&SYSTEM
  ibrav = 0, nat = 12, ntyp = 4
/
ATOMIC_SPECIES
Sr 87.62 Sr.upf
Li 6.94 Li.upf
Nd 144.24 Nd.upf
Se 78.96 Se.upf
CELL_PARAMETERS angstrom
3.729 -6.458 0.000
3.729 6.458 0.000
-2.486 0.000 7.075
ATOMIC_POSITIONS angstrom
Sr 0.000 0.000 0.000
Sr 3.729 2.144 0.000
Sr 3.729 -2.144 0.000
Li 2.487 0.000 3.537
Nd 2.487 4.304 3.537
Nd 2.487 -4.304 3.537
Se 1.249 2.141 1.870
Se 0.015 0.000 5.198
Se 1.249 -2.141 1.870
Se 3.724 2.141 5.204
Se 4.958 0.000 1.876
Se 3.724 -2.141 5.204
```

---

4.
LaNp2N4 | PBE | optimized geometry Values from VASP.

Summary:
Spin magnetization in Bohr magnetons per cell: 9.974
E_form (uncorrected) in meV/atom: -1207
Energy in eV per atom: -10.365
SG: No. 63

The structure in Quantum ESPRESSO input format:
```
&SYSTEM
  ibrav = 0, nat = 14, ntyp = 3
/
ATOMIC_SPECIES
La 138.91 La.upf
Np 237.00 Np.upf
N 14.01 N.upf
CELL_PARAMETERS angstrom
1.734 -5.692 0.000
1.734 5.692 0.000
0.000 0.000 10.752
ATOMIC_POSITIONS angstrom
La 1.734 4.465 8.064
La 1.734 -4.465 2.688
Np 1.734 1.501 6.113
Np 1.734 1.501 10.016
Np 1.734 -1.501 0.736
Np 1.734 -1.501 4.640
N 0.000 0.000 0.000
N 0.000 0.000 5.376
N 1.734 2.644 1.085
N 1.734 2.644 4.291
N 1.734 0.532 8.064
N 1.734 -0.532 2.688
N 1.734 -2.644 6.461
N 1.734 -2.644 9.668
```

---

5.
Li2Zn2Hg | PBE | optimized geometry Values from VASP.

Summary:
Spin magnetization in Bohr magnetons per cell: 0.000
Excess energy over the best structure of this formula in the dataset in eV/atom: 0.046
Energy in eV per atom: -1.507
SG: No. 127

The structure in Quantum ESPRESSO input format:
```
&SYSTEM
  ibrav = 0, nat = 10, ntyp = 3
/
ATOMIC_SPECIES
Li 6.94 Li.upf
Zn 65.41 Zn.upf
Hg 200.59 Hg.upf
CELL_PARAMETERS angstrom
7.155 0.000 0.000
0.000 7.155 0.000
0.000 0.000 3.262
ATOMIC_POSITIONS angstrom
Li 1.216 2.362 0.000
Li 2.362 5.939 0.000
Li 4.793 1.216 0.000
Li 5.939 4.793 0.000
Zn 0.899 4.476 1.631
Zn 2.679 0.899 1.631
Zn 4.476 6.256 1.631
Zn 6.256 2.679 1.631
Hg 0.000 0.000 1.631
Hg 3.577 3.577 1.631
```

---

6.
Pr2SiHg | PBE | optimized geometry Values from VASP.

Summary:
Spin magnetization in Bohr magnetons per cell: 0.000
E_form (uncorrected) in meV/atom: -457
Energy in eV per atom: -4.278
SG: No. 166

The structure in Quantum ESPRESSO input format:
```
&SYSTEM
  ibrav = 0, nat = 4, ntyp = 3
/
ATOMIC_SPECIES
Pr 140.91 Pr.upf
Si 28.09 Si.upf
Hg 200.59 Hg.upf
CELL_PARAMETERS angstrom
2.193 1.266 7.465
-2.193 1.266 7.465
0.000 -2.532 7.465
ATOMIC_POSITIONS angstrom
Pr 0.000 0.000 5.296
Pr 0.000 0.000 17.098
Si 0.000 0.000 11.197
Hg 0.000 0.000 0.000
```

---

7.
Tm3Ga5Hg12 | PBE | optimized geometry Values from VASP.

Summary:
Spin magnetization in Bohr magnetons per cell: 0.000
Energy in eV per atom: -1.527
SG: No. 230

The structure in Quantum ESPRESSO input format:
```
&SYSTEM
  ibrav = 0, nat = 80, ntyp = 3
/
ATOMIC_SPECIES
Tm 168.93 Tm.upf
Ga 69.72 Ga.upf
Hg 200.59 Hg.upf
CELL_PARAMETERS angstrom
-8.311 8.311 8.311
8.311 -8.311 8.311
8.311 8.311 -8.311
ATOMIC_POSITIONS angstrom
Tm 4.156 2.078 0.000
Tm 8.311 4.156 -2.078
Tm 2.078 0.000 4.156
Tm 10.389 0.000 4.156
Tm 0.000 4.156 2.078
Tm 4.156 -2.078 8.311
Tm 4.156 10.389 0.000
Tm 8.311 4.156 6.234
Tm -2.078 8.311 4.156
Tm 6.234 8.311 4.156
Tm 0.000 4.156 10.389
Tm 4.156 6.234 8.311
Ga 0.000 0.000 0.000
Ga 4.156 4.156 -4.156
Ga 4.156 -4.156 4.156
Ga 8.311 0.000 0.000
Ga 12.467 2.078 0.000
Ga 8.311 -4.156 6.234
Ga 6.234 8.311 -4.156
Ga 6.234 0.000 4.156
Ga 4.156 6.234 0.000
Ga 8.311 4.156 2.078
Ga -4.156 4.156 4.156
Ga 0.000 8.311 0.000
Ga 0.000 0.000 8.311
Ga 4.156 4.156 4.156
Ga 0.000 4.156 6.234
Ga 4.156 2.078 8.311
Ga 2.078 8.311 4.156
Ga 2.078 0.000 12.467
Ga 0.000 12.467 2.078
Ga -4.156 6.234 8.311
Hg 2.480 -0.357 1.191
Hg 9.987 5.346 -4.512
Hg 7.955 -1.191 2.480
Hg 12.824 -1.675 2.965
Hg 10.792 0.357 1.191
Hg 9.987 -2.965 4.512
Hg 1.191 2.480 -0.357
Hg 11.277 3.799 -1.675
Hg 5.346 4.512 -1.675
Hg 7.121 2.480 0.357
Hg -0.357 1.191 2.480
Hg 4.512 -1.675 5.346
Hg 7.955 7.121 -2.480
Hg 4.512 1.675 2.965
Hg 7.121 -2.480 7.955
Hg 5.346 -4.512 9.987
Hg 2.965 4.512 1.675
Hg 9.502 5.831 0.357
Hg 2.480 7.955 -1.191
Hg 9.987 2.965 3.799
Hg 4.512 9.987 -2.965
Hg 7.955 1.191 5.831
Hg 1.675 2.965 4.512
Hg 2.480 0.357 7.121
Hg 5.831 7.955 1.191
Hg 6.636 5.346 3.799
Hg 0.357 7.121 2.480
Hg 3.799 -1.675 11.277
Hg -1.675 5.346 4.512
Hg 5.831 0.357 9.502
Hg -1.191 2.480 7.955
Hg 5.346 3.799 6.636
Hg 2.965 12.824 -1.675
Hg 1.191 10.792 0.357
Hg 3.799 6.636 5.346
Hg 0.357 1.191 10.792
Hg 3.799 9.987 2.965
Hg 8.668 7.121 5.831
Hg 1.191 5.831 7.955
Hg 2.965 3.799 9.987
Hg -2.965 4.512 9.987
Hg 7.121 5.831 8.668
Hg -1.675 11.277 3.799
Hg -2.480 7.955 7.121
Hg -4.512 9.987 5.346
Hg 0.357 9.502 5.831
Hg -1.675 2.965 12.824
Hg 5.831 8.668 7.121
```

---

8.
CeSm8Ho5 | PBE | optimized geometry Values from VASP.

Summary:
Spin magnetization in Bohr magnetons per cell: 1.246
Energy in eV per atom: -4.495
SG: No. 82

The structure in Quantum ESPRESSO input format:
```
&SYSTEM
  ibrav = 0, nat = 14, ntyp = 3
/
ATOMIC_SPECIES
Ce 140.12 Ce.upf
Sm 150.36 Sm.upf
Ho 164.93 Ho.upf
CELL_PARAMETERS angstrom
-4.754 4.754 5.179
4.754 -4.754 5.179
4.754 4.754 -5.179
ATOMIC_POSITIONS angstrom
Ce 0.000 0.000 0.000
Sm 3.005 0.791 0.023
Sm 3.078 4.077 -1.516
Sm 3.962 -1.749 5.156
Sm 1.676 0.676 3.663
Sm 5.430 3.078 1.516
Sm 0.791 6.502 -0.023
Sm -0.676 1.676 6.695
Sm 1.749 3.962 5.202
Ho 5.803 1.963 -1.842
Ho 4.754 0.000 2.590
Ho 1.963 3.704 1.842
Ho -1.049 2.790 3.337
Ho 2.790 1.049 7.021
```